Record 1
This record from Alexandria via LeMat-Bulk describes a geometry-optimized TiAlHg structure. The functional is PBE.

Summary:
- total DFT energy (no corrections) (eV/atom) = -4.112
- energy of formation from the pure elements (eV/atom) = -0.132
- volume (Å³/cell) = 108

abc: 2.9806 2.9806 12.1984
angles: 90.00 90.00 90.00
Space group P4/nmm (No. 129, origin choice 2)
Symmetry-distinct sites (fractional):
Ti: 0.2500 0.2500 0.2187
Al: 0.2500 0.2500 0.9248
Hg: 0.2500 0.2500 0.6036

=====

Record 2
This record from Alexandria via LeMat-Bulk describes a geometry-optimized Ti2AlHg structure. The functional is PBE.

Summary:
- distance to the lowest polymorph of the same formula (kJ per mole of atoms) = 14.0
- total DFT energy (no corrections) (eV/atom) = -5.033
- energy of formation from the pure elements (eV/atom) = -0.075
- volume (Å³/cell) = 283

abc: 6.5617 6.5617 6.5617
angles: 90.00 90.00 90.00
Space group Fm-3m (No. 225)
Symmetry-distinct sites (fractional):
Ti: 0.2500 0.2500 0.2500
Al: 0.0000 0.0000 0.0000
Hg: 0.0000 0.0000 0.5000

=====

Please write out number 2 again, unchanged.
This record from Alexandria via LeMat-Bulk describes a geometry-optimized Ti2AlHg structure. The functional is PBE.

Summary:
- distance to the lowest polymorph of the same formula (kJ per mole of atoms) = 14.0
- total DFT energy (no corrections) (eV/atom) = -5.033
- energy of formation from the pure elements (eV/atom) = -0.075
- volume (Å³/cell) = 283

abc: 6.5617 6.5617 6.5617
angles: 90.00 90.00 90.00
Space group Fm-3m (No. 225)
Symmetry-distinct sites (fractional):
Ti: 0.2500 0.2500 0.2500
Al: 0.0000 0.0000 0.0000
Hg: 0.0000 0.0000 0.5000